Below is an optimized crystal structure of Sb2RuPb, with properties calculated at the PBEsol level.

Summary:
**Raw total energy**: -5.7439 eV per atom
**Formation energy (no corrections)**: 7.5 kJ per mole of atoms
**Space-group type**: Imm2 (44)

a b c (Å): 3.184 3.255 18.349
angles (deg): 90.00 90.00 90.00
Sites, in units of the cell vectors:
Sb 0.000 0.000 0.000
Sb 0.000 0.500 0.192
Sb 0.500 0.000 0.692
Sb 0.500 0.500 0.500
Ru 0.000 0.000 0.576
Ru 0.500 0.500 0.076
Pb 0.000 0.500 0.841
Pb 0.500 0.000 0.341



Below is an optimized crystal structure of LaNbO4, with properties calculated at the PBEsol level.

Summary:
**Raw total energy**: -9.2793 eV per atom
**Formation energy (no corrections)**: -297.7 kJ per mole of atoms
**Space-group type**: I4_1/a (88)

a b c (Å): 6.897 6.897 6.897
angles (deg): 134.04 134.04 67.03
Sites, in units of the cell vectors:
La 0.375 0.125 0.250
La 0.625 0.875 0.750
Nb 0.125 0.375 0.750
Nb 0.875 0.625 0.250
O 0.046 0.219 0.339
O 0.207 0.546 0.327
O 0.281 0.120 0.827
O 0.380 0.707 0.161
O 0.620 0.293 0.839
O 0.719 0.880 0.173
O 0.793 0.454 0.673
O 0.954 0.781 0.661



Below is an optimized crystal structure of ZrGaN3, with properties calculated at the PBEsol level.

Summary:
**Raw total energy**: -7.3054 eV per atom
**Formation energy (no corrections)**: 28.6 kJ per mole of atoms
**Space-group type**: Pm-3m (221)

a b c (Å): 3.761 3.761 3.761
angles (deg): 90.00 90.00 90.00
Sites, in units of the cell vectors:
Zr 0.000 0.000 0.000
Ga 0.500 0.500 0.500
N 0.000 0.500 0.500
N 0.500 0.000 0.500
N 0.500 0.500 0.000



Below is an optimized crystal structure of LiZnAsH2O5, with properties calculated at the PBEsol level.

Summary:
**Raw total energy**: -5.5625 eV per atom
**Space-group type**: Pna2_1 (33)

a b c (Å): 11.155 8.166 5.091
angles (deg): 90.00 90.00 90.00
Sites, in units of the cell vectors:
Li 0.182 0.170 0.000
Li 0.318 0.670 0.500
Li 0.682 0.330 0.000
Li 0.818 0.830 0.500
Zn 0.122 0.369 0.503
Zn 0.378 0.869 0.003
Zn 0.622 0.131 0.503
Zn 0.878 0.631 0.003
As 0.164 0.585 0.006
As 0.336 0.085 0.506
As 0.664 0.915 0.006
As 0.836 0.415 0.506
H 0.016 0.963 0.635
H 0.029 0.833 0.395
H 0.471 0.333 0.895
H 0.484 0.463 0.135
H 0.516 0.537 0.635
H 0.529 0.667 0.395
H 0.971 0.167 0.895
H 0.984 0.037 0.135
O 0.020 0.077 0.970
O 0.040 0.690 0.105
O 0.159 0.390 0.133
O 0.180 0.570 0.673
O 0.214 0.183 0.633
O 0.286 0.683 0.133
O 0.320 0.070 0.173
O 0.341 0.890 0.633
O 0.460 0.190 0.605
O 0.480 0.577 0.470
O 0.520 0.423 0.970
O 0.540 0.810 0.105
O 0.659 0.110 0.133
O 0.680 0.930 0.673
O 0.714 0.317 0.633
O 0.786 0.817 0.133
O 0.820 0.430 0.173
O 0.841 0.610 0.633
O 0.960 0.310 0.605
O 0.980 0.923 0.470



Which value of raw total energy does entry 3 give?
-7.3054 eV per atom



The highest raw total energy belongs to which entry?
LiZnAsH2O5